# 1
DFT (GGA-PBE) results for a relaxed Cs2K3Au4 crystal.

Cell lengths 8.475, 9.387, 10.236 Å; angles 90.00, 114.46, 90.00 degrees
Positions (direct):
1 Cs 0.105 0.580 0.210
2 Cs 0.895 0.420 0.790
3 Cs 0.395 0.080 0.790
4 Cs 0.605 0.920 0.210
5 K 0.000 0.000 0.000
6 K 0.500 0.500 0.000
7 K 0.541 0.750 0.582
8 K 0.959 0.250 0.418
9 K 0.459 0.250 0.418
10 K 0.041 0.750 0.582
11 Au 0.717 0.750 0.933
12 Au 0.783 0.250 0.067
13 Au 0.283 0.250 0.067
14 Au 0.217 0.750 0.933
15 Au 0.195 0.956 0.390
16 Au 0.805 0.044 0.610
17 Au 0.305 0.456 0.610
18 Au 0.695 0.544 0.390

Calculated values
The calculation puts the density of states at the Fermi level at 10.10 states/eV per cell. Its formation enthalpy at 0 K is -0.26 eV/atom. Its total magnetization is 0.00 Bohr magnetons per cell. The polymorph energy (0 for the lowest one) comes out at 55.1 meV per atom.


# 2
DFT (GGA-PBE) results for a relaxed LiPr2Re crystal.

Cell lengths 3.205, 3.205, 11.730 Å; angles 82.15, 82.15, 60.00 degrees
Positions (direct):
1 Pr 0.078 0.078 0.765
2 Pr 0.922 0.922 0.235
3 Re 0.000 0.000 0.000
4 Li 0.500 0.500 0.500

Calculated values
The calculation puts the density of states at the Fermi level at 5.46 states/eV per cell. Its formation enthalpy at 0 K is 0.89 eV/atom. Its total magnetization is 0.01 Bohr magnetons per cell. The polymorph energy (0 for the lowest one) comes out at 695.7 meV per atom.


# 3
DFT (GGA-PBE) results for a relaxed BaMgRh2 crystal.

Cell lengths 10.145, 10.145, 10.145 Å; angles 17.96, 17.96, 17.96 degrees
Positions (direct):
1 Ba 0.510 0.510 0.510
2 Mg 0.730 0.730 0.730
3 Rh 0.997 0.997 0.997
4 Rh 0.264 0.264 0.264

Calculated values
The calculation puts the density of states at the Fermi level at 4.70 states/eV per cell. Its formation enthalpy at 0 K is 0.49 eV/atom. Its total magnetization is 1.58 Bohr magnetons per cell.


# 4
DFT (GGA-PBE) results for a relaxed Cs2PuTe4 crystal.

Cell lengths 4.878, 4.881, 15.383 Å; angles 99.13, 90.00, 90.00 degrees
Positions (direct):
1 Cs 0.500 0.162 0.324
2 Cs 0.500 0.838 0.676
3 Pu 0.000 0.500 0.000
4 Te 0.500 0.569 0.137
5 Te 0.000 0.932 0.863
6 Te 0.500 0.431 0.863
7 Te 0.000 0.068 0.137

Calculated values
The calculation puts the density of states at the Fermi level at 13.10 states/eV per cell. Its total magnetization is 4.99 Bohr magnetons per cell. For the uncorrected formation energy, the calculation gives -0.611 eV per atom.


Values for uncorrected energy, eV/atom, ordered as above
-2.272 -5.085 -4.061 -4.698